Arrangement a

# RbNbIr3 (PBE, optimized geometry)
data_RbNbIr3
_chemical_formula_sum 'Rb1 Nb1 Ir3'
_space_group_name_H-M_alt 'P m -3 m'
_space_group_IT_number 221
_space_group_name_Hall '-P 4 2 3'
_cell_length_a 4.7298
_cell_length_b 4.7298
_cell_length_c 4.7298
_cell_angle_alpha 90.00
_cell_angle_beta 90.00
_cell_angle_gamma 90.00
loop_
_atom_site_label
_atom_site_type_symbol
_atom_site_fract_x
_atom_site_fract_y
_atom_site_fract_z
Rb1 Rb 0.0000 0.0000 0.0000
Nb1 Nb 0.5000 0.5000 0.5000
Ir1 Ir 0.0000 0.0000 0.5000
# Spin magnetization in μB per formula unit: 0.0

---

Arrangement b

# RbNbIr3 (PBE, optimized geometry)
data_RbNbIr3
_chemical_formula_sum 'Rb1 Nb1 Ir3'
_space_group_name_H-M_alt 'P m -3 m'
_space_group_IT_number 221
_space_group_name_Hall '-P 4 2 3'
_cell_length_a 4.9210
_cell_length_b 4.9210
_cell_length_c 4.9210
_cell_angle_alpha 90.00
_cell_angle_beta 90.00
_cell_angle_gamma 90.00
loop_
_atom_site_label
_atom_site_type_symbol
_atom_site_fract_x
_atom_site_fract_y
_atom_site_fract_z
Rb1 Rb 0.0000 0.0000 0.0000
Nb1 Nb 0.5000 0.5000 0.5000
Ir1 Ir 0.0000 0.5000 0.5000
# Spin magnetization in μB per formula unit: 0.0

---

Most stable pick: arrangement b. Distance to second place: 1917 meV/atom.

---

Arrangement a

# Nb2ReIr2 (PBE, optimized geometry)
data_Nb2ReIr2
_chemical_formula_sum 'Nb4 Re2 Ir4'
_space_group_name_H-M_alt 'P 4/m b m'
_space_group_IT_number 127
_space_group_name_Hall '-P 4 2ab'
_cell_length_a 7.7194
_cell_length_b 7.7194
_cell_length_c 2.8324
_cell_angle_alpha 90.00
_cell_angle_beta 90.00
_cell_angle_gamma 90.00
loop_
_atom_site_label
_atom_site_type_symbol
_atom_site_fract_x
_atom_site_fract_y
_atom_site_fract_z
Nb1 Nb 0.1643 0.3357 0.0000
Re1 Re 0.0000 0.0000 0.0000
Ir1 Ir 0.1316 0.6316 0.5000
# Spin magnetization in μB per formula unit: 0.0

---

Arrangement b

# Nb2ReIr2 (PBE, optimized geometry)
data_Nb2ReIr2
_chemical_formula_sum 'Nb4 Re2 Ir4'
_space_group_name_H-M_alt 'I 4/m m m'
_space_group_IT_number 139
_space_group_name_Hall '-I 4 2'
_cell_length_a 3.5718
_cell_length_b 3.5718
_cell_length_c 13.9584
_cell_angle_alpha 90.00
_cell_angle_beta 90.00
_cell_angle_gamma 90.00
loop_
_atom_site_label
_atom_site_type_symbol
_atom_site_fract_x
_atom_site_fract_y
_atom_site_fract_z
Nb1 Nb 0.0000 0.0000 0.1026
Re1 Re 0.0000 0.0000 0.5000
Ir1 Ir 0.0000 0.5000 0.2500
# Spin magnetization in μB per formula unit: 0.0

---

Most stable pick: arrangement a. Distance to second place: 310 meV/atom.